Entry 1:
# DyErCd2

An optimized crystal structure of DyErCd2 (GGA-PBE, the Alexandria database).

abc: 5.271 5.271 5.271
angles: 60.00 60.00 60.00
Fractional positions:
Dy  0.000  0.000  0.000
Er  0.500  0.500  0.500
Cd  0.250  0.250  0.250
Cd  0.750  0.750  0.750

Calculated values
Volume   104 Å³ per cell
Uncorrected energy   -3.0699 eV per atom
ρ   8894 kg/m3
E_form   -0.32 eV/atom

Entry 2:
# NbRePN2

An optimized crystal structure of NbRePN2 (GGA-PBE, the Alexandria database).

abc: 3.812 3.812 5.005
angles: 90.00 90.00 90.00
Fractional positions:
Nb  0.000  0.000  0.000
Re  0.500  0.500  0.500
P  0.500  0.500  0.000
N  0.000  0.500  0.500
N  0.500  0.000  0.500

Calculated values
Uncorrected formation energy   577 meV per atom
Volume   73 Å³ per cell
Uncorrected energy   -8.3392 eV per atom
ρ   7721 kg/m3